Entry 1:
Density functional theory data (PBEsol) for a relaxed Sr2IrOs crystal.

Calculated values
The calculation puts the calculated volume at 25.66 Å³ per atom. The calculation puts the formation energy at 376.5 meV/atom.

abc: 3.019 3.843 8.848
angles: 90.00 90.00 90.00
Fractional coordinates of all 4 atoms:
Ir  0.000  0.000  0.578
Sr  0.000  0.000  0.919
Sr  0.500  0.500  0.333
Os  0.500  0.500  0.670

***

Entry 2:
Density functional theory data (PBEsol) for a relaxed SrIr2Os crystal.

Calculated values
For the energy above the lowest structure with this stoichiometry, the calculation gives 332 meV per atom. The calculation puts the calculated volume at 16.82 Å³ per atom. The calculation puts the formation energy at 850.7 meV/atom.

abc: 4.050 4.050 5.002
angles: 113.88 113.88 90.00
Fractional coordinates of all 4 atoms:
Os  0.500  0.500  0.000
Ir  0.000  0.000  0.000
Ir  0.750  0.250  0.500
Sr  0.250  0.750  0.500

***

Entry 3:
Density functional theory data (PBEsol) for a relaxed SrIr2Os crystal.

Calculated values
For the energy above the lowest structure with this stoichiometry, the calculation gives 36 meV per atom. The calculation puts the calculated volume at 16.42 Å³ per atom. The calculation puts the formation energy at 554.6 meV/atom.

abc: 2.775 4.994 4.994
angles: 108.46 90.00 90.00
Fractional coordinates of all 4 atoms:
Sr  0.500  0.500  0.500
Os  0.500  0.000  0.000
Ir  0.000  0.500  0.000
Ir  0.000  0.000  0.500

***

Entry 4:
Density functional theory data (PBEsol) for a relaxed SrIrOs2 crystal.

Calculated values
For the energy above the lowest structure with this stoichiometry, the calculation gives 0 meV per atom. The calculation puts the calculated volume at 17.09 Å³ per atom. The calculation puts the formation energy at 446.2 meV/atom.

abc: 2.846 2.846 8.441
angles: 90.00 90.00 90.00
Fractional coordinates of all 4 atoms:
Sr  0.000  0.000  0.501
Ir  0.500  0.500  0.794
Os  0.500  0.500  0.202
Os  0.000  0.000  0.004

***

Entry 5:
Density functional theory data (PBEsol) for a relaxed SrIrOs2 crystal.

Calculated values
For the energy above the lowest structure with this stoichiometry, the calculation gives 651 meV per atom. The calculation puts the calculated volume at 16.92 Å³ per atom. The calculation puts the formation energy at 1096.8 meV/atom.

abc: 3.954 3.954 4.328
angles: 90.00 90.00 90.00
Fractional coordinates of all 4 atoms:
Sr  0.500  0.500  0.500
Ir  0.000  0.000  0.500
Os  0.000  0.500  0.000
Os  0.500  0.000  0.000

***

Entry 6:
Density functional theory data (PBEsol) for a relaxed SrIr2Os crystal.

Calculated values
For the energy above the lowest structure with this stoichiometry, the calculation gives 318 meV per atom. The calculation puts the calculated volume at 16.86 Å³ per atom. The calculation puts the formation energy at 836.1 meV/atom.

abc: 4.178 4.178 4.863
angles: 115.44 115.44 90.00
Fractional coordinates of all 4 atoms:
Ir  0.750  0.250  0.500
Ir  0.250  0.750  0.500
Os  0.500  0.500  0.000
Sr  0.000  0.000  0.000

***

Entry 7:
Density functional theory data (PBEsol) for a relaxed SrIrOs2 crystal.

Calculated values
For the energy above the lowest structure with this stoichiometry, the calculation gives 127 meV per atom. The calculation puts the calculated volume at 18.08 Å³ per atom. The calculation puts the formation energy at 573.1 meV/atom.

abc: 2.774 4.318 6.194
angles: 90.00 102.94 90.00
Fractional coordinates of all 4 atoms:
Os  0.609  0.500  0.219
Os  0.175  0.000  0.349
Ir  0.293  0.500  0.586
Sr  0.928  0.000  0.856

***

Entry 8:
Density functional theory data (PBEsol) for a relaxed SrIr2Os crystal.

Calculated values
For the energy above the lowest structure with this stoichiometry, the calculation gives 0 meV per atom. The calculation puts the calculated volume at 17.21 Å³ per atom. The calculation puts the formation energy at 518.5 meV/atom.

abc: 2.782 4.794 5.860
angles: 114.14 103.73 90.00
Fractional coordinates of all 4 atoms:
Ir  0.247  0.747  0.494
Ir  0.971  0.971  0.943
Os  0.533  0.533  0.067
Sr  0.749  0.249  0.497